Version w
TaRe3I, optimized geometry, DFT PBE; total moment = 0.00 μB/f.u.; space-group type = Pm-3m
1.0
4.739 0.000 0.000
0.000 4.739 0.000
0.000 0.000 4.739
Ta Re I
1 3 1
Direct
0.000 0.000 0.000
0.000 0.500 0.500
0.500 0.000 0.500
0.500 0.500 0.000
0.500 0.500 0.500

---

Version x
TaRe3I, optimized geometry, DFT PBE; total moment = 2.86 μB/f.u.; space-group type = Pm-3m
1.0
4.871 0.000 0.000
0.000 4.871 0.000
0.000 0.000 4.871
Ta Re I
1 3 1
Direct
0.000 0.000 0.000
0.000 0.000 0.500
0.000 0.500 0.000
0.500 0.000 0.000
0.500 0.500 0.500

---

Structures ranked by computed energy, the most stable listed first: version x, version w.

---

Version w
ReTc2I2, optimized geometry, DFT PBE; total moment = 0.00 μB/f.u.; space-group type = P4/mbm
1.0
7.630 0.000 0.000
0.000 7.630 0.000
0.000 0.000 3.151
Re Tc I
2 4 4
Direct
0.000 0.000 0.000
0.500 0.500 0.000
0.149 0.351 0.500
0.351 0.851 0.500
0.649 0.149 0.500
0.851 0.649 0.500
0.155 0.655 0.000
0.345 0.155 0.000
0.655 0.845 0.000
0.845 0.345 0.000

---

Version x
ReTc2I2, optimized geometry, DFT PBE; total moment = 0.00 μB/f.u.; space-group type = I4/mmm
1.0
3.435 0.000 0.000
0.000 3.435 0.000
0.000 0.000 17.655
Re Tc I
2 4 4
Direct
0.000 0.000 0.000
0.500 0.500 0.500
0.000 0.500 0.250
0.000 0.500 0.750
0.500 0.000 0.250
0.500 0.000 0.750
0.000 0.000 0.402
0.000 0.000 0.598
0.500 0.500 0.098
0.500 0.500 0.902

---

Structures ranked by computed energy, the most stable listed first: version x, version w.

---

Version w
ReTcI2, optimized geometry, DFT PBE; total moment = 0.00 μB/f.u.; space-group type = Fm-3m
1.0
6.722 0.000 0.000
0.000 6.722 0.000
0.000 0.000 6.722
Re Tc I
4 4 8
Direct
0.000 0.000 0.000
0.000 0.500 0.500
0.500 0.000 0.500
0.500 0.500 0.000
0.000 0.000 0.500
0.000 0.500 0.000
0.500 0.000 0.000
0.500 0.500 0.500
0.250 0.250 0.250
0.250 0.250 0.750
0.250 0.750 0.250
0.250 0.750 0.750
0.750 0.250 0.250
0.750 0.250 0.750
0.750 0.750 0.250
0.750 0.750 0.750

---

Version x
ReTcI2, optimized geometry, DFT PBE; total moment = 0.00 μB/f.u.; space-group type = I-42d
1.0
5.953 0.000 0.000
0.000 5.953 0.000
0.000 0.000 11.929
Re Tc I
4 4 8
Direct
0.000 0.000 0.000
0.000 0.500 0.250
0.500 0.000 0.750
0.500 0.500 0.500
0.000 0.000 0.500
0.000 0.500 0.750
0.500 0.000 0.250
0.500 0.500 0.000
0.250 0.250 0.125
0.250 0.250 0.625
0.250 0.750 0.375
0.250 0.750 0.875
0.750 0.250 0.375
0.750 0.250 0.875
0.750 0.750 0.125
0.750 0.750 0.625

---

Structures ranked by computed energy, the most stable listed first: version w, version x.

---

Version w
ReTe2I, optimized geometry, DFT PBE; total moment = 0.00 μB/f.u.; space-group type = I-42d
1.0
7.404 0.000 0.000
0.000 7.404 0.000
0.000 0.000 10.682
Re Te I
4 8 4
Direct
0.000 0.000 0.000
0.000 0.500 0.250
0.500 0.000 0.750
0.500 0.500 0.500
0.148 0.250 0.125
0.250 0.648 0.375
0.250 0.852 0.875
0.352 0.250 0.625
0.648 0.750 0.625
0.750 0.148 0.875
0.750 0.352 0.375
0.852 0.750 0.125
0.000 0.000 0.500
0.000 0.500 0.750
0.500 0.000 0.250
0.500 0.500 0.000

---

Version x
ReTe2I, optimized geometry, DFT PBE; total moment = 0.00 μB/f.u.; space-group type = R-3m
1.0
3.411 0.000 0.000
-1.706 2.954 0.000
0.000 0.000 36.851
Re Te I
3 6 3
Direct
0.000 0.000 0.000
0.333 0.667 0.667
0.667 0.333 0.333
0.000 0.000 0.385
0.000 0.000 0.615
0.333 0.667 0.052
0.333 0.667 0.282
0.667 0.333 0.718
0.667 0.333 0.948
0.000 0.000 0.500
0.333 0.667 0.167
0.667 0.333 0.833

---

Version y
ReTe2I, optimized geometry, DFT PBE; total moment = 1.33 μB/f.u.; space-group type = Fm-3m
1.0
7.250 0.000 0.000
0.000 7.250 0.000
0.000 0.000 7.250
Re Te I
4 8 4
Direct
0.000 0.000 0.000
0.000 0.500 0.500
0.500 0.000 0.500
0.500 0.500 0.000
0.250 0.250 0.250
0.250 0.250 0.750
0.250 0.750 0.250
0.250 0.750 0.750
0.750 0.250 0.250
0.750 0.250 0.750
0.750 0.750 0.250
0.750 0.750 0.750
0.000 0.000 0.500
0.000 0.500 0.000
0.500 0.000 0.000
0.500 0.500 0.500

---

Structures ranked by computed energy, the most stable listed first: version x, version w, version y.

---

Version w
ReTeI3, optimized geometry, DFT PBE; total moment = 0.00 μB/f.u.; space-group type = Pm-3m
1.0
5.390 0.000 0.000
0.000 5.390 0.000
0.000 0.000 5.390
Re Te I
1 1 3
Direct
0.000 0.000 0.000
0.500 0.500 0.500
0.000 0.000 0.500
0.000 0.500 0.000
0.500 0.000 0.000

---

Version x
ReTeI3, optimized geometry, DFT PBE; total moment = 5.82 μB/f.u.; space-group type = Pm-3m
1.0
6.082 0.000 0.000
0.000 6.082 0.000
0.000 0.000 6.082
Re Te I
1 1 3
Direct
0.000 0.000 0.000
0.500 0.500 0.500
0.000 0.500 0.500
0.500 0.000 0.500
0.500 0.500 0.000

---

Structures ranked by computed energy, the most stable listed first: version w, version x.

---

Version w
ReTe2I2, optimized geometry, DFT PBE; total moment = 5.00 μB/f.u.; space-group type = I4/mmm
1.0
4.088 0.000 0.000
0.000 4.088 0.000
0.000 0.000 24.015
Re Te I
2 4 4
Direct
0.000 0.000 0.000
0.500 0.500 0.500
0.000 0.500 0.250
0.000 0.500 0.750
0.500 0.000 0.250
0.500 0.000 0.750
0.000 0.000 0.426
0.000 0.000 0.574
0.500 0.500 0.074
0.500 0.500 0.926

---

Version x
ReTe2I2, optimized geometry, DFT PBE; total moment = 2.00 μB/f.u.; space-group type = P4/mbm
1.0
7.261 0.000 0.000
0.000 7.261 0.000
0.000 0.000 7.367
Re Te I
2 4 4
Direct
0.000 0.000 0.000
0.500 0.500 0.000
0.128 0.372 0.500
0.372 0.872 0.500
0.628 0.128 0.500
0.872 0.628 0.500
0.173 0.673 0.000
0.327 0.173 0.000
0.673 0.827 0.000
0.827 0.327 0.000

---

Structures ranked by computed energy, the most stable listed first: version x, version w.